Version 1
VASP calculation (PBEsol) on crystalline In2CuAg at its relaxed geometry.

- crystal system = orthorhombic
- N(E_F) (states/eV/cell) = 1.1
- volume (Å³/cell) = 74.6

Cell: 3.5833 3.7095 5.6098 Å, 90.00 90.00 90.00°
Space group Pmm2 (No. 25)
Inequivalent atoms, fractional coordinates:
In  0.0000  0.0000  0.0000 x1
In  0.5000  0.5000  0.3003 x1
Cu  0.0000  0.0000  0.5133 x1
Ag  0.5000  0.5000  0.7752 x1



Version 2
VASP calculation (PBEsol) on crystalline In2CuAg at its relaxed geometry.

- crystal system = tetragonal
- N(E_F) (states/eV/cell) = 2.5
- volume (Å³/cell) = 146.8

Cell: 4.1326 4.1326 8.5969 Å, 90.00 90.00 90.00°
Space group I-4m2 (No. 119)
Inequivalent atoms, fractional coordinates:
In  0.0000  0.0000  0.0000 x2
In  0.0000  0.5000  0.2500 x2
Cu  0.0000  0.5000  0.7500 x2
Ag  0.0000  0.0000  0.5000 x2



Of them, version 2 has the lowest stability.



Version 1
VASP calculation (PBEsol) on crystalline K2CuAg at its relaxed geometry.

- crystal system = tetragonal
- volume (Å³/cell) = 149.7

Cell: 4.7278 4.7278 6.6968 Å, 90.00 90.00 90.00°
Space group P4mm (No. 99)
Inequivalent atoms, fractional coordinates:
K  0.0000  0.0000  0.0000 x1
K  0.5000  0.5000  0.4797 x1
Cu  0.5000  0.5000  0.9745 x1
Ag  0.0000  0.0000  0.5040 x1



Version 2
VASP calculation (PBEsol) on crystalline K2CuAg at its relaxed geometry.

- crystal system = tetragonal
- N(E_F) (states/eV/cell) = 1.9
- volume (Å³/cell) = 126.0

Cell: 3.6094 3.6094 9.6698 Å, 90.00 90.00 90.00°
Space group P4mm (No. 99)
Inequivalent atoms, fractional coordinates:
K  0.0000  0.0000  0.0000 x1
K  0.5000  0.5000  0.4205 x1
Cu  0.5000  0.5000  0.7338 x1
Ag  0.0000  0.0000  0.6821 x1



Of them, version 1 has the lowest stability.



Version 1
VASP calculation (PBEsol) on crystalline La2CuAg at its relaxed geometry.

- crystal system = tetragonal
- N(E_F) (states/eV/cell) = 3.7
- volume (Å³/cell) = 97.8

Cell: 3.7020 3.7020 7.1331 Å, 90.00 90.00 90.00°
Space group P4/mmm (No. 123)
Inequivalent atoms, fractional coordinates:
La  0.0000  0.0000  0.2290 x2
Cu  0.5000  0.5000  0.0000 x1
Ag  0.5000  0.5000  0.5000 x1



Version 2
VASP calculation (PBEsol) on crystalline La2CuAg at its relaxed geometry.

- crystal system = orthorhombic
- N(E_F) (states/eV/cell) = 7.2
- volume (Å³/cell) = 188.1

Cell: 3.6570 4.7592 10.8068 Å, 90.00 90.00 90.00°
Space group Imm2 (No. 44)
Inequivalent atoms, fractional coordinates:
La  0.0000  0.0000  0.0000 x2
La  0.0000  0.5000  0.1905 x2
Cu  0.0000  0.0000  0.4471 x2
Ag  0.0000  0.5000  0.7736 x2



Version 3
VASP calculation (PBEsol) on crystalline La2CuAg at its relaxed geometry.

- crystal system = cubic
- N(E_F) (states/eV/cell) = 15.2
- volume (Å³/cell) = 397.3

Cell: 7.3513 7.3513 7.3513 Å, 90.00 90.00 90.00°
Space group Fm-3m (No. 225)
Inequivalent atoms, fractional coordinates:
La  0.2500  0.2500  0.2500 x8
Cu  0.0000  0.0000  0.0000 x4
Ag  0.0000  0.0000  0.5000 x4



Of them, version 2 has the lowest stability.